[1]
{"formula": "BSbAu3", "functional": "PBE", "state": "relaxed", "cell": [[4.510, 0.000, 0.000], [0.000, 4.510, 0.000], [0.000, 0.000, 4.510]], "species": ["B", "Sb", "Au", "Au", "Au"], "fractional_positions": [[0.000, 0.000, 0.000], [0.500, 0.500, 0.500], [0.000, 0.000, 0.500], [0.000, 0.500, 0.000], [0.500, 0.000, 0.000]], "total_energy_ev_per_atom": -3.764, "spacegroup": "Pm-3m", "dos_ef_per_ev_atom": 0.368, "magnetic_moment_mub_per_atom": 0.000}



[2]
{"formula": "BSb3Au", "functional": "PBE", "state": "relaxed", "cell": [[5.401, 0.000, 0.000], [0.000, 5.401, 0.000], [0.000, 0.000, 5.401]], "species": ["B", "Sb", "Sb", "Sb", "Au"], "fractional_positions": [[0.000, 0.000, 0.000], [0.000, 0.500, 0.500], [0.500, 0.000, 0.500], [0.500, 0.500, 0.000], [0.500, 0.500, 0.500]], "total_energy_ev_per_atom": -2.976, "spacegroup": "Pm-3m", "dos_ef_per_ev_atom": 0.657, "magnetic_moment_mub_per_atom": 0.000}



[3]
{"formula": "B2SbAuSe", "functional": "PBE", "state": "relaxed", "cell": [[4.093, 0.000, 0.000], [0.000, 4.093, 0.000], [0.000, 0.000, 6.638]], "species": ["B", "B", "Sb", "Au", "Se"], "fractional_positions": [[0.000, 0.500, 0.000], [0.500, 0.000, 0.000], [0.000, 0.000, 0.500], [0.500, 0.500, 0.000], [0.500, 0.500, 0.500]], "total_energy_ev_per_atom": -3.786, "spacegroup": "P4/mmm", "dos_ef_per_ev_atom": 0.325, "magnetic_moment_mub_per_atom": 0.000}



[4]
{"formula": "BSbTe2Au", "functional": "PBE", "state": "relaxed", "cell": [[4.839, 0.000, 0.000], [0.000, 4.839, 0.000], [0.000, 0.000, 4.870]], "species": ["B", "Sb", "Te", "Te", "Au"], "fractional_positions": [[0.000, 0.000, 0.000], [0.000, 0.000, 0.500], [0.000, 0.500, 0.000], [0.500, 0.000, 0.000], [0.500, 0.500, 0.500]], "total_energy_ev_per_atom": -3.294, "spacegroup": "P4/mmm", "dos_ef_per_ev_atom": 0.487, "magnetic_moment_mub_per_atom": 0.000}



[5]
{"formula": "BSb2TeAu", "functional": "PBE", "state": "relaxed", "cell": [[5.370, 0.000, 0.000], [0.000, 5.370, 0.000], [0.000, 0.000, 5.542]], "species": ["B", "Sb", "Sb", "Te", "Au"], "fractional_positions": [[0.000, 0.000, 0.000], [0.000, 0.500, 0.500], [0.500, 0.000, 0.500], [0.500, 0.500, 0.000], [0.500, 0.500, 0.500]], "total_energy_ev_per_atom": -2.822, "spacegroup": "P4/mmm", "dos_ef_per_ev_atom": 0.786, "magnetic_moment_mub_per_atom": 0.000}



[6]
{"formula": "BSbTe2Au", "functional": "PBE", "state": "relaxed", "cell": [[5.575, 0.000, 0.000], [0.000, 5.575, 0.000], [0.000, 0.000, 5.220]], "species": ["B", "Sb", "Te", "Te", "Au"], "fractional_positions": [[0.000, 0.000, 0.000], [0.500, 0.500, 0.000], [0.000, 0.500, 0.500], [0.500, 0.000, 0.500], [0.500, 0.500, 0.500]], "total_energy_ev_per_atom": -2.673, "spacegroup": "P4/mmm", "dos_ef_per_ev_atom": 0.871, "magnetic_moment_mub_per_atom": 0.000}



[7]
{"formula": "BSb2TeAu", "functional": "PBE", "state": "relaxed", "cell": [[4.852, 0.000, 0.000], [0.000, 4.852, 0.000], [0.000, 0.000, 4.788]], "species": ["B", "Sb", "Sb", "Te", "Au"], "fractional_positions": [[0.000, 0.000, 0.000], [0.000, 0.500, 0.000], [0.500, 0.000, 0.000], [0.000, 0.000, 0.500], [0.500, 0.500, 0.500]], "total_energy_ev_per_atom": -3.515, "spacegroup": "P4/mmm", "dos_ef_per_ev_atom": 0.784, "magnetic_moment_mub_per_atom": 0.000}



[8]
{"formula": "TlBSbAu2", "functional": "PBE", "state": "relaxed", "cell": [[4.379, 0.000, 0.000], [0.000, 4.379, 0.000], [0.000, 0.000, 5.614]], "species": ["Tl", "B", "Sb", "Au", "Au"], "fractional_positions": [[0.000, 0.000, 0.000], [0.000, 0.000, 0.500], [0.500, 0.500, 0.000], [0.000, 0.500, 0.500], [0.500, 0.000, 0.500]], "total_energy_ev_per_atom": -3.456, "spacegroup": "P4/mmm", "dos_ef_per_ev_atom": 0.738, "magnetic_moment_mub_per_atom": 0.000}